A relaxed structure of KBaMoF6, computed with PBE with a Hubbard U.

Lattice parameters (Å, degrees): 6.572 6.572 9.271 90.00 90.00 120.00
Fractional positions:
K (0.000, 0.000, 0.000)
K (0.000, 0.000, 0.500)
Ba (0.333, 0.667, 0.250)
Ba (0.667, 0.333, 0.750)
Mo (0.333, 0.667, 0.750)
Mo (0.667, 0.333, 0.250)
F (0.059, 0.393, 0.631)
F (0.059, 0.667, 0.869)
F (0.333, 0.393, 0.869)
F (0.333, 0.941, 0.631)
F (0.393, 0.059, 0.131)
F (0.393, 0.333, 0.369)
F (0.607, 0.667, 0.631)
F (0.607, 0.941, 0.869)
F (0.667, 0.059, 0.369)
F (0.667, 0.607, 0.131)
F (0.941, 0.333, 0.131)
F (0.941, 0.607, 0.369)

The calculation puts the density of states at the Fermi level at 0.000 states/eV/cell. The magnetization is 3.00 μB/f.u. The total energy is -5.44 eV per atom. Its space group is P-31c (163). The crystal system is trigonal.